The following is a DFT calculation (PBE) of a relaxed structure of LiCuW2.

Summary:
calculated formation energy: 0.46 eV per atom
total DFT energy (no corrections): -7.515 eV per atom
crystal system: orthorhombic

Cell: 2.604 2.604 9.292 Å, 90.00 90.00 107.48°
Fractional positions:
Cu1 0.500 0.500 0.250
W1 0.000 0.000 0.012
Li1 0.500 0.500 0.750
W2 0.000 0.000 0.488


The following is a DFT calculation (PBE) of a relaxed structure of Ac2NdPd9.

Summary:
calculated formation energy: -0.73 eV per atom
total DFT energy (no corrections): -5.709 eV per atom
crystal system: tetragonal

Cell: 4.282 4.282 12.827 Å, 90.00 90.00 90.00°
Fractional positions:
Ac1 0.000 0.000 0.330
Pd1 0.500 0.000 0.839
Pd2 0.000 0.500 0.161
Pd3 0.500 0.500 0.000
Nd1 0.000 0.000 0.000
Pd4 0.000 0.500 0.500
Pd5 0.000 0.500 0.839
Pd6 0.500 0.500 0.670
Pd7 0.500 0.500 0.330
Ac2 0.000 0.000 0.670
Pd8 0.500 0.000 0.500
Pd9 0.500 0.000 0.161


| no. | energy above the most stable polymorph in this dataset (meV per atom) |
| --- | --- |
| 1 | 218 |
| 2 | 0 |